[1]
A plane-wave DFT calculation with PBE was carried out for crystalline ThPdPtRh at its relaxed geometry.

## Properties
energy of formation from the pure elements: -971 meV per atom

Cell: 4.1296 4.1549 4.2854 Å, 90.00 90.00 90.00°
Last column: nearest neighbours and their distance in Å.
Space group Pmmm (No. 47)
Asymmetric unit:
1 Th 0.0000 0.0000 0.0000 [1 per cell]  4 Rh 2.93, 4 Pd 2.98, 4 Pt 2.98
2 Pd 0.5000 0.0000 0.5000 [1 per cell]  4 Pt 2.93, 4 Th 2.98, 4 Rh 2.98
3 Pt 0.0000 0.5000 0.5000 [1 per cell]  4 Pd 2.93, 4 Rh 2.98, 4 Th 2.98
4 Rh 0.5000 0.5000 0.0000 [1 per cell]  4 Th 2.93, 4 Pt 2.98, 4 Pd 2.98

***

[2]
A plane-wave DFT calculation with PBE was carried out for crystalline Pm3HoRu8 at its relaxed geometry.

## Properties
energy of formation from the pure elements: -207 meV per atom

Cell: 5.3762 5.3762 26.5195 Å, 90.00 90.00 120.00°
Last column: nearest neighbours and their distance in Å.
Space group R3m (No. 160, hexagonal axes)
Asymmetric unit:
1 Pm 0.0000 0.0000 0.0000 [3 per cell]  12 Ru 3.13-3.17, 3 Ho 3.30, 1 Pm 3.31
2 Pm 0.0000 0.0000 0.1250 [3 per cell]  12 Ru 3.14-3.20, 4 Pm 3.29-3.31
3 Pm 0.0000 0.0000 0.5000 [3 per cell]  12 Ru 3.16-3.20, 3 Pm 3.29, 1 Ho 3.30
4 Ho 0.0000 0.0000 0.6246 [3 per cell]  12 Ru 3.14-3.15, 4 Pm 3.30
5 Ru 0.0000 0.0000 0.3083 [3 per cell]  6 Ru 2.63-2.74
6 Ru 0.0000 0.0000 0.8086 [3 per cell]  6 Ru 2.67-2.77
7 Ru 0.0039 0.5020 0.0607 [9 per cell]  6 Ru 2.66-2.74
8 Ru 0.0082 0.5041 0.5628 [9 per cell]  6 Ru 2.62-2.77

***

[3]
A plane-wave DFT calculation with PBE was carried out for crystalline SrLi2P at its relaxed geometry.

## Properties
energy of formation from the pure elements: -391 meV per atom

Cell: 4.5845 4.5845 17.7512 Å, 90.00 90.00 90.00°
Last column: nearest neighbours and their distance in Å.
Space group I-42d (No. 122)
Asymmetric unit:
1 Sr 0.0000 0.0000 0.0000 [4 per cell]  8 Li 3.21-3.58, 4 P 3.24
2 Li 0.0610 0.2500 0.6250 [8 per cell]  2 Li 2.36, 2 P 2.51
3 P 0.0000 0.0000 0.5000 [4 per cell]  4 Li 2.51

***

[4]
A plane-wave DFT calculation with PBE was carried out for crystalline TlInSbAu at its relaxed geometry.

## Properties
uncorrected formation energy: 0.059 eV/atom

Cell: 7.4368 7.4368 7.4368 Å, 90.00 90.00 90.00°
Last column: nearest neighbours and their distance in Å.
Space group F-43m (No. 216)
Asymmetric unit:
1 Tl 0.0000 0.0000 0.0000 [4 per cell]  4 In 3.22, 4 Au 3.22
2 In 0.2500 0.2500 0.7500 [4 per cell]  4 Tl 3.22, 4 Sb 3.22
3 Sb 0.0000 0.0000 0.5000 [4 per cell]  4 In 3.22, 4 Au 3.22
4 Au 0.2500 0.2500 0.2500 [4 per cell]  4 Tl 3.22, 4 Sb 3.22

***

In order of appearance, spin magnetization = 0.00 0.00 0.00 0.00 μB/f.u..
In order of appearance, D(E_F) = 1.2727 1.2837 0.1809 0.2237 states/eV per atom.